# SrTbCu2O5 (PBE-GGA, relaxed)
data_SrTbCu2O5
_chemical_formula_sum 'Sr1 Tb1 Cu2 O5'
_cell_length_a 3.844
_cell_length_b 3.844
_cell_length_c 7.524
_cell_angle_alpha 90.00
_cell_angle_beta 90.00
_cell_angle_gamma 90.00
_space_group_name_H-M_alt 'P 4/m m m'
_space_group_IT_number 123
_space_group_name_Hall '-P 4 2'
loop_
_atom_site_label
_atom_site_type_symbol
_atom_site_fract_x
_atom_site_fract_y
_atom_site_fract_z
Sr1 Sr 0.000 0.000 0.000
Tb1 Tb 0.000 0.000 0.500
Cu1 Cu 0.500 0.500 0.265
O1 O 0.000 0.500 0.309
O2 O 0.500 0.500 0.000
# formation energy without anion corrections	-1.87	eV/atom

# Sr2TbCuO4 (PBE-GGA, relaxed)
data_Sr2TbCuO4
_chemical_formula_sum 'Sr2 Tb1 Cu1 O4'
_cell_length_a 6.094
_cell_length_b 3.507
_cell_length_c 6.119
_cell_angle_alpha 90.00
_cell_angle_beta 111.32
_cell_angle_gamma 90.00
_space_group_name_H-M_alt 'P 1 2/m 1'
_space_group_IT_number 10
_space_group_name_Hall '-P 2y'
loop_
_atom_site_label
_atom_site_type_symbol
_atom_site_fract_x
_atom_site_fract_y
_atom_site_fract_z
Sr1 Sr 0.000 0.000 0.000
Sr2 Sr 0.500 0.500 0.000
Tb1 Tb 0.000 0.500 0.500
Cu1 Cu 0.500 0.000 0.500
O1 O 0.219 0.000 0.737
O2 O 0.242 0.500 0.273
# formation energy without anion corrections	-2.31	eV/atom

# Sr2CuTcO6 (PBE-GGA, relaxed)
data_Sr2CuTcO6
_chemical_formula_sum 'Sr12 Cu6 Tc6 O36'
_cell_length_a 5.7066
_cell_length_b 5.7066
_cell_length_c 27.9289
_cell_angle_alpha 90.00
_cell_angle_beta 90.00
_cell_angle_gamma 120.00
_space_group_name_H-M_alt 'R -3 m'
_space_group_IT_number 166
_space_group_name_Hall '-R 3 2"'
loop_
_atom_site_label
_atom_site_type_symbol
_atom_site_fract_x
_atom_site_fract_y
_atom_site_fract_z
Sr1 Sr 0.0000 0.0000 0.1283
Sr2 Sr 0.0000 0.0000 0.2761
Cu1 Cu 0.0000 0.0000 0.4002
Tc1 Tc 0.0000 0.0000 0.0000
Tc2 Tc 0.0000 0.0000 0.5000
O1 O 0.0123 0.5062 0.1272
O2 O 0.0248 0.5124 0.7076
# formation energy without anion corrections	-1.83	eV/atom

# Sr4CuTc3O12 (PBE-GGA, relaxed)
data_Sr4CuTc3O12
_chemical_formula_sum 'Sr8 Cu2 Tc6 O24'
_cell_length_a 7.969
_cell_length_b 7.969
_cell_length_c 7.969
_cell_angle_alpha 90.00
_cell_angle_beta 90.00
_cell_angle_gamma 90.00
_space_group_name_H-M_alt 'I m -3 m'
_space_group_IT_number 229
_space_group_name_Hall '-I 4 2 3'
loop_
_atom_site_label
_atom_site_type_symbol
_atom_site_fract_x
_atom_site_fract_y
_atom_site_fract_z
Sr1 Sr 0.250 0.250 0.250
Cu1 Cu 0.000 0.000 0.000
Tc1 Tc 0.000 0.000 0.500
O1 O 0.000 0.000 0.259
O2 O 0.000 0.250 0.500
# formation energy without anion corrections	-1.95	eV/atom

# Sr3CuTc2O9 (PBE-GGA, relaxed)
data_Sr3CuTc2O9
_chemical_formula_sum 'Sr3 Cu1 Tc2 O9'
_cell_length_a 5.6326
_cell_length_b 5.6326
_cell_length_c 6.9539
_cell_angle_alpha 90.00
_cell_angle_beta 90.00
_cell_angle_gamma 120.00
_space_group_name_H-M_alt 'P -3 m 1'
_space_group_IT_number 164
_space_group_name_Hall '-P 3 2"'
loop_
_atom_site_label
_atom_site_type_symbol
_atom_site_fract_x
_atom_site_fract_y
_atom_site_fract_z
Sr1 Sr 0.0000 0.0000 0.0000
Sr2 Sr 0.3333 0.6667 0.6493
Cu1 Cu 0.0000 0.0000 0.5000
Tc1 Tc 0.3333 0.6667 0.1641
O1 O 0.0000 0.5000 0.0000
O2 O 0.1716 0.3432 0.3211
# formation energy without anion corrections	-1.93	eV/atom

# SrCuTc2O8 (PBE-GGA, relaxed)
data_SrCuTc2O8
_chemical_formula_sum 'Sr1 Cu1 Tc2 O8'
_cell_length_a 5.7687
_cell_length_b 5.7687
_cell_length_c 6.8013
_cell_angle_alpha 90.00
_cell_angle_beta 90.00
_cell_angle_gamma 120.00
_space_group_name_H-M_alt 'P -3 m 1'
_space_group_IT_number 164
_space_group_name_Hall '-P 3 2"'
loop_
_atom_site_label
_atom_site_type_symbol
_atom_site_fract_x
_atom_site_fract_y
_atom_site_fract_z
Sr1 Sr 0.0000 0.0000 0.0000
Cu1 Cu 0.0000 0.0000 0.5000
Tc1 Tc 0.3333 0.6667 0.2274
O1 O 0.1620 0.3240 0.3010
O2 O 0.3333 0.6667 0.9686
# formation energy without anion corrections	-1.53	eV/atom

Question: formation energy without anion corrections of number 4 (Sr4CuTc3O12)?
Answer: -1.95 eV/atom

Repeat the third record exactly.
# Sr2CuTcO6 (PBE-GGA, relaxed)
data_Sr2CuTcO6
_chemical_formula_sum 'Sr12 Cu6 Tc6 O36'
_cell_length_a 5.7066
_cell_length_b 5.7066
_cell_length_c 27.9289
_cell_angle_alpha 90.00
_cell_angle_beta 90.00
_cell_angle_gamma 120.00
_space_group_name_H-M_alt 'R -3 m'
_space_group_IT_number 166
_space_group_name_Hall '-R 3 2"'
loop_
_atom_site_label
_atom_site_type_symbol
_atom_site_fract_x
_atom_site_fract_y
_atom_site_fract_z
Sr1 Sr 0.0000 0.0000 0.1283
Sr2 Sr 0.0000 0.0000 0.2761
Cu1 Cu 0.0000 0.0000 0.4002
Tc1 Tc 0.0000 0.0000 0.0000
Tc2 Tc 0.0000 0.0000 0.5000
O1 O 0.0123 0.5062 0.1272
O2 O 0.0248 0.5124 0.7076
# formation energy without anion corrections	-1.83	eV/atom